The following is a DFT calculation (PBE) of an optimized crystal structure of LaTbY2Er5.

The structure in CIF format:
```
data_LaTbY2Er5
_chemical_formula_sum 'La4 Tb4 Y8 Er20'
_space_group_name_H-M_alt 'I 4/m c m'
_space_group_IT_number 140
_space_group_name_Hall '-I 4 2c'
_cell_length_a 8.8666
_cell_length_b 8.8666
_cell_length_c 14.8731
_cell_angle_alpha 90.00
_cell_angle_beta 90.00
_cell_angle_gamma 90.00
loop_
_atom_site_label
_atom_site_type_symbol
_atom_site_fract_x
_atom_site_fract_y
_atom_site_fract_z
La1 La 0.0000 0.0000 0.2500
Tb1 Tb 0.0000 0.5000 0.2500
Y1 Y 0.1142 0.3858 0.0000
Er1 Er 0.0000 0.0000 0.0000
Er2 Er 0.2057 0.2943 0.3669
```

Properties
- E_form: 2.637 eV/f.u.



The following is a DFT calculation (PBE) of an optimized crystal structure of LaAs3.

The structure in CIF format:
```
data_LaAs3
_chemical_formula_sum 'La4 As12'
_space_group_name_H-M_alt 'P n m a'
_space_group_IT_number 62
_cell_length_a 8.4563
_cell_length_b 8.3715
_cell_length_c 5.7486
_cell_angle_alpha 90.00
_cell_angle_beta 90.00
_cell_angle_gamma 90.00
loop_
_space_group_symop_operation_xyz
'x,y,z'
'-x,-y,-z'
'-x+1/2,-y,z+1/2'
'x+1/2,y,-z+1/2'
'x+1/2,-y+1/2,-z+1/2'
'-x+1/2,y+1/2,z+1/2'
'-x,y+1/2,-z'
'x,-y+1/2,z'
loop_
_atom_site_label
_atom_site_type_symbol
_atom_site_fract_x
_atom_site_fract_y
_atom_site_fract_z
La1 La 0.0372 0.2500 0.0882
As1 As 0.0855 0.7500 0.4059
As2 As 0.2499 0.0106 0.8281
```

Properties
- E_form: -2.817 eV/f.u.



The following is a DFT calculation (PBE) of an optimized crystal structure of UTaOs2.

The structure in CIF format:
```
data_UTaOs2
_chemical_formula_sum 'U1 Ta1 Os2'
_space_group_name_H-M_alt 'P 4/m m m'
_space_group_IT_number 123
_space_group_name_Hall '-P 4 2'
_cell_length_a 3.0815
_cell_length_b 3.0815
_cell_length_c 7.3425
_cell_angle_alpha 90.00
_cell_angle_beta 90.00
_cell_angle_gamma 90.00
loop_
_atom_site_label
_atom_site_type_symbol
_atom_site_fract_x
_atom_site_fract_y
_atom_site_fract_z
U1 U 0.0000 0.0000 0.0000
Ta1 Ta 0.0000 0.0000 0.5000
Os1 Os 0.5000 0.5000 0.2789
```

Properties
- Offset from the most stable computed form: 0 meV/atom
- E_form: -0.973 eV/f.u.



The following is a DFT calculation (PBE) of an optimized crystal structure of AsP2Au.

The structure in CIF format:
```
data_AsP2Au
_chemical_formula_sum 'As1 P2 Au1'
_space_group_name_H-M_alt 'P 1 m 1'
_space_group_IT_number 6
_cell_length_a 4.5087
_cell_length_b 3.5329
_cell_length_c 4.7209
_cell_angle_alpha 90.00
_cell_angle_beta 110.01
_cell_angle_gamma 90.00
loop_
_space_group_symop_operation_xyz
'x,y,z'
'x,-y,z'
loop_
_atom_site_label
_atom_site_type_symbol
_atom_site_fract_x
_atom_site_fract_y
_atom_site_fract_z
As1 As 0.0000 0.0000 0.0000
P1 P 0.4697 0.0000 0.4227
P2 P 0.7182 0.5000 0.2247
Au1 Au 0.2370 0.5000 0.7024
```

Properties
- E_form: 0.556 eV/f.u.



The following is a DFT calculation (PBE) of an optimized crystal structure of TbCePuCd.

The structure in CIF format:
```
data_TbCePuCd
_chemical_formula_sum 'Tb4 Ce4 Pu4 Cd4'
_space_group_name_H-M_alt 'F -4 3 m'
_space_group_IT_number 216
_space_group_name_Hall 'F -4 2 3'
_cell_length_a 7.5819
_cell_length_b 7.5819
_cell_length_c 7.5819
_cell_angle_alpha 90.00
_cell_angle_beta 90.00
_cell_angle_gamma 90.00
loop_
_atom_site_label
_atom_site_type_symbol
_atom_site_fract_x
_atom_site_fract_y
_atom_site_fract_z
Tb1 Tb 0.0000 0.0000 0.0000
Ce1 Ce 0.0000 0.0000 0.5000
Pu1 Pu 0.2500 0.2500 0.7500
Cd1 Cd 0.2500 0.2500 0.2500
```

Properties
- E_form: 0.137 eV/f.u.



The following is a DFT calculation (PBE) of an optimized crystal structure of ThMn3Ge3.

The structure in CIF format:
```
data_ThMn3Ge3
_chemical_formula_sum 'Th2 Mn6 Ge6'
_space_group_name_H-M_alt 'P m -3 n'
_space_group_IT_number 223
_space_group_name_Hall '-P 4n 2 3'
_cell_length_a 6.6160
_cell_length_b 6.6160
_cell_length_c 6.6160
_cell_angle_alpha 90.00
_cell_angle_beta 90.00
_cell_angle_gamma 90.00
loop_
_atom_site_label
_atom_site_type_symbol
_atom_site_fract_x
_atom_site_fract_y
_atom_site_fract_z
Th1 Th 0.0000 0.0000 0.0000
Mn1 Mn 0.0000 0.2500 0.5000
Ge1 Ge 0.0000 0.5000 0.2500
```

Properties
- E_form: 2.016 eV/f.u.



The following is a DFT calculation (PBE) of an optimized crystal structure of Sc2ZnFeB.

The structure in CIF format:
```
data_Sc2ZnFeB
_chemical_formula_sum 'Sc2 Zn1 Fe1 B1'
_space_group_name_H-M_alt 'P 4/m m m'
_space_group_IT_number 123
_space_group_name_Hall '-P 4 2'
_cell_length_a 4.6600
_cell_length_b 4.6600
_cell_length_c 3.7317
_cell_angle_alpha 90.00
_cell_angle_beta 90.00
_cell_angle_gamma 90.00
loop_
_atom_site_label
_atom_site_type_symbol
_atom_site_fract_x
_atom_site_fract_y
_atom_site_fract_z
Sc1 Sc 0.0000 0.5000 0.0000
Zn1 Zn 0.0000 0.0000 0.5000
Fe1 Fe 0.5000 0.5000 0.5000
B1 B 0.5000 0.5000 0.0000
```

Properties
- E_form: -1.125 eV/f.u.



The following is a DFT calculation (PBE) of an optimized crystal structure of Sc2MoIBr.

The structure in CIF format:
```
data_Sc2MoIBr
_chemical_formula_sum 'Sc2 Mo1 I1 Br1'
_space_group_name_H-M_alt 'P 4/m m m'
_space_group_IT_number 123
_space_group_name_Hall '-P 4 2'
_cell_length_a 5.4666
_cell_length_b 5.4666
_cell_length_c 4.8504
_cell_angle_alpha 90.00
_cell_angle_beta 90.00
_cell_angle_gamma 90.00
loop_
_atom_site_label
_atom_site_type_symbol
_atom_site_fract_x
_atom_site_fract_y
_atom_site_fract_z
Sc1 Sc 0.0000 0.5000 0.0000
Mo1 Mo 0.0000 0.0000 0.5000
I1 I 0.0000 0.0000 0.0000
Br1 Br 0.5000 0.5000 0.5000
```

Properties
- Formation energy (no corrections): 0.928 eV/atom



no.,theoretical density (Mg/m³)
1,7.5
2,5.9
3,19.0
4,7.8
5,10.0
6,7.1
7,4.5
8,4.5